A plane-wave DFT calculation with PBE with a Hubbard U was carried out for a geometry-optimized LiMgVO4 structure.

Summary:
Magnetic moment (μB per formula unit): 0.00
Offset from the most stable computed form (eV per atom): 0.000

a b c (Å): 5.7079 8.7143 6.3150
angles (deg): 90.00 90.00 90.00
Closest atoms and distances in Å follow each position.
Space group Cmcm (No. 63)
Symmetry-distinct sites (fractional):
1 Li 0.0000 0.1621 0.2500 x4  4 O 1.96-2.12
2 Mg 0.0000 0.5000 0.0000 x4  6 O 2.10-2.15
3 V 0.0000 0.1461 0.7500 x4  4 O 1.71-1.78
4 O 0.0000 0.2603 0.5292 x8  1 V 1.71
5 O 0.2455 0.0201 0.7500 x8  1 V 1.78